Entry 1:
# AlRu SCAN PBEsol geometry
# Total DFT energy (no corrections) = -21.3230 eV per atom
# Magnetization = 0.00 μB/f.u.
# ΔE_f = -0.034 eV per atom
data_AlRu
_space_group_name_H-M_alt 'P 63/m m c'
_space_group_IT_number 194
_space_group_name_Hall '-P 6c 2c'
_cell_length_a 4.2424
_cell_length_b 4.2424
_cell_length_c 7.4531
_cell_angle_alpha 90.00
_cell_angle_beta 90.00
_cell_angle_gamma 120.00
loop_
_atom_site_label
_atom_site_type_symbol
_atom_site_fract_x
_atom_site_fract_y
_atom_site_fract_z
Al1 Al 0.0000 0.0000 0.2500
Al2 Al 0.3333 0.6667 0.2500
Ru1 Ru 0.3333 0.6667 0.5827

Entry 2:
# AsIr2Pb SCAN PBEsol geometry
# Total DFT energy (no corrections) = -58.7882 eV per atom
# Magnetization = 0.00 μB/f.u.
# Energy relative to the lowest polymorph listed for this composition = 0.479 eV per atom
# ΔE_f = 0.754 eV per atom
data_AsIr2Pb
_space_group_name_H-M_alt 'P m m m'
_space_group_IT_number 47
_space_group_name_Hall '-P 2 2'
_cell_length_a 2.984
_cell_length_b 4.527
_cell_length_c 5.117
_cell_angle_alpha 90.00
_cell_angle_beta 90.00
_cell_angle_gamma 90.00
loop_
_atom_site_label
_atom_site_type_symbol
_atom_site_fract_x
_atom_site_fract_y
_atom_site_fract_z
As1 As 0.000 0.000 0.000
Ir1 Ir 0.000 0.500 0.500
Ir2 Ir 0.500 0.500 0.000
Pb1 Pb 0.500 0.000 0.500

Entry 3:
# YCo4Pb SCAN PBEsol geometry
# Total DFT energy (no corrections) = -28.7599 eV per atom
# Magnetization = 7.00 μB/f.u.
# ΔE_f = 0.047 eV per atom
data_YCo4Pb
_space_group_name_H-M_alt 'F -4 3 m'
_space_group_IT_number 216
_space_group_name_Hall 'F -4 2 3'
_cell_length_a 7.000
_cell_length_b 7.000
_cell_length_c 7.000
_cell_angle_alpha 90.00
_cell_angle_beta 90.00
_cell_angle_gamma 90.00
loop_
_atom_site_label
_atom_site_type_symbol
_atom_site_fract_x
_atom_site_fract_y
_atom_site_fract_z
Y1 Y 0.000 0.000 0.000
Co1 Co 0.125 0.125 0.375
Pb1 Pb 0.250 0.250 0.750

Short version: D(E_F) = 1.143 0.764 0.952 states/eV per atom, in the order given.